Entry 1:
# CeTh2MoC4

A relaxed CeTh2MoC4 crystal (PBE, Alexandria).

Calculated values
Calculated volume ... 287.9 Å³ per cell
Formation energy ... -32 meV/atom
E ... -8.5944 eV/atom

```
CeTh2MoC4
1.0
1.811 -6.180 0.000
1.811 6.180 0.000
0.000 0.000 12.861
Ce Th Mo C
2 4 2 8
Direct
0.101 0.899 0.750
0.899 0.101 0.250
0.368 0.632 0.540
0.368 0.632 0.960
0.632 0.368 0.040
0.632 0.368 0.460
0.167 0.833 0.250
0.833 0.167 0.750
0.000 0.000 0.000
0.000 0.000 0.500
0.267 0.733 0.134
0.267 0.733 0.366
0.422 0.578 0.750
0.578 0.422 0.250
0.733 0.267 0.634
0.733 0.267 0.866
```

Entry 2:
# CeTm2Mo2C4

A relaxed CeTm2Mo2C4 crystal (PBE, Alexandria).

Calculated values
Calculated volume ... 126.8 Å³ per cell
Formation energy ... -139 meV/atom
E ... -8.2987 eV/atom

```
CeTm2Mo2C4
1.0
6.876 -1.653 0.000
6.876 1.653 0.000
-2.244 0.000 5.578
Ce Tm Mo C
1 2 2 4
Direct
0.000 0.000 0.000
0.146 0.146 0.528
0.854 0.854 0.472
0.328 0.328 0.020
0.672 0.672 0.980
0.228 0.228 0.233
0.482 0.482 0.373
0.518 0.518 0.627
0.772 0.772 0.767
```

Entry 3:
# CeUMoC3

A relaxed CeUMoC3 crystal (PBE, Alexandria).

Calculated values
Calculated volume ... 197.5 Å³ per cell
Formation energy ... 107 meV/atom
E ... -9.1808 eV/atom

```
CeUMoC3
1.0
7.297 0.000 0.000
0.000 3.413 0.000
-0.434 0.000 7.929
Ce U Mo C
2 2 2 6
Direct
0.146 0.250 0.170
0.854 0.750 0.830
0.378 0.750 0.832
0.622 0.250 0.168
0.117 0.250 0.585
0.883 0.750 0.415
0.150 0.250 0.849
0.171 0.750 0.449
0.410 0.750 0.111
0.590 0.250 0.889
0.829 0.250 0.551
0.850 0.750 0.151
```

Entry 4:
# Ce2UMo2C4

A relaxed Ce2UMo2C4 crystal (PBE, Alexandria).

Calculated values
Calculated volume ... 133.6 Å³ per cell
Formation energy ... -46 meV/atom
E ... -9.1252 eV/atom

```
Ce2UMo2C4
1.0
7.188 -1.645 0.000
7.188 1.645 0.000
-1.690 0.000 5.650
Ce U Mo C
2 1 2 4
Direct
0.130 0.130 0.019
0.870 0.870 0.981
0.000 0.000 0.500
0.320 0.320 0.479
0.680 0.680 0.521
0.242 0.242 0.745
0.461 0.461 0.742
0.539 0.539 0.258
0.758 0.758 0.255
```

Entry 5:
# CeU2MoC4

A relaxed CeU2MoC4 crystal (PBE, Alexandria).

Calculated values
Calculated volume ... 242.1 Å³ per cell
Formation energy ... -17 meV/atom
E ... -9.5465 eV/atom

```
CeU2MoC4
1.0
1.774 -5.921 0.000
1.774 5.921 0.000
0.000 0.000 11.524
Ce U Mo C
2 4 2 8
Direct
0.117 0.883 0.750
0.883 0.117 0.250
0.372 0.628 0.548
0.372 0.628 0.952
0.628 0.372 0.048
0.628 0.372 0.452
0.144 0.856 0.250
0.856 0.144 0.750
0.000 0.000 0.000
0.000 0.000 0.500
0.262 0.738 0.115
0.262 0.738 0.385
0.457 0.543 0.750
0.543 0.457 0.250
0.738 0.262 0.615
0.738 0.262 0.885
```

Entry 6:
# CeZrMoC3

A relaxed CeZrMoC3 crystal (PBE, Alexandria).

Calculated values
Calculated volume ... 196.4 Å³ per cell
Formation energy ... -35 meV/atom
E ... -8.8663 eV/atom

```
CeZrMoC3
1.0
7.163 0.000 0.000
0.000 3.436 0.000
-0.924 0.000 7.980
Ce Zr Mo C
2 2 2 6
Direct
0.164 0.250 0.181
0.836 0.750 0.819
0.366 0.750 0.866
0.634 0.250 0.134
0.118 0.250 0.596
0.882 0.750 0.404
0.133 0.250 0.847
0.173 0.750 0.474
0.409 0.750 0.138
0.591 0.250 0.862
0.827 0.250 0.526
0.867 0.750 0.153
```

Entry 7:
# Ce2C3N6

A relaxed Ce2C3N6 crystal (PBE, Alexandria).

Calculated values
Calculated volume ... 160.3 Å³ per cell
Uncorrected formation energy ... -0.69 eV/atom
E ... -8.8260 eV/atom

```
Ce2C3N6
1.0
7.491 -2.010 0.000
7.491 2.010 0.000
-0.636 0.000 5.324
Ce C N
2 3 6
Direct
0.135 0.135 0.073
0.865 0.865 0.927
0.000 0.000 0.500
0.328 0.328 0.407
0.672 0.672 0.593
0.010 0.010 0.732
0.311 0.311 0.173
0.343 0.343 0.636
0.657 0.657 0.364
0.689 0.689 0.827
0.990 0.990 0.268
```

Entry 8:
# Ce3CN2

A relaxed Ce3CN2 crystal (PBE, Alexandria).

Calculated values
Calculated volume ... 99.6 Å³ per cell
Uncorrected formation energy ... -1.03 eV/atom
E ... -8.3080 eV/atom

```
Ce3CN2
1.0
-1.806 2.550 5.408
1.806 -2.550 5.408
1.806 2.550 -5.408
Ce C N
3 1 2
Direct
0.000 0.000 0.000
0.331 0.331 0.000
0.669 0.669 0.000
0.500 0.000 0.500
0.167 0.667 0.500
0.833 0.333 0.500
```

Entry 9:
# CeC2N3

A relaxed CeC2N3 crystal (PBE, Alexandria).

Calculated values
Calculated volume ... 98.2 Å³ per cell
Uncorrected formation energy ... 0.23 eV/atom
E ... -7.9996 eV/atom

```
CeC2N3
1.0
3.245 -4.035 0.000
3.245 4.035 0.000
0.000 0.000 3.750
Ce C N
1 2 3
Direct
0.000 0.000 0.000
0.345 0.655 0.500
0.655 0.345 0.500
0.190 0.810 0.500
0.500 0.500 0.500
0.810 0.190 0.500
```

Entry 10:
# CeCN4

A relaxed CeCN4 crystal (PBE, Alexandria).

Calculated values
Calculated volume ... 156.2 Å³ per cell
Uncorrected formation energy ... -0.32 eV/atom
E ... -8.3939 eV/atom

```
CeCN4
1.0
3.860 0.000 0.000
0.000 6.932 0.000
-0.807 0.000 5.836
Ce C N
2 2 8
Direct
0.218 0.250 0.422
0.782 0.750 0.578
0.210 0.750 0.230
0.790 0.250 0.770
0.139 0.750 0.964
0.225 0.581 0.329
0.225 0.919 0.329
0.365 0.750 0.842
0.635 0.250 0.158
0.775 0.081 0.671
0.775 0.419 0.671
0.861 0.250 0.036
```

Entry 11:
# Ce3CN6

A relaxed Ce3CN6 crystal (PBE, Alexandria).

Calculated values
Calculated volume ... 273.3 Å³ per cell
Uncorrected formation energy ... -0.62 eV/atom
E ... -8.3209 eV/atom

```
Ce3CN6
1.0
4.496 -5.639 0.000
4.496 5.639 0.000
0.000 0.000 5.391
Ce C N
6 2 12
Direct
0.106 0.894 0.500
0.187 0.411 0.480
0.411 0.187 0.980
0.589 0.813 0.480
0.813 0.589 0.980
0.894 0.106 0.000
0.307 0.693 0.955
0.693 0.307 0.455
0.127 0.614 0.830
0.155 0.163 0.734
0.163 0.155 0.234
0.287 0.713 0.227
0.386 0.873 0.830
0.434 0.566 0.910
0.566 0.434 0.410
0.614 0.127 0.330
0.713 0.287 0.727
0.837 0.845 0.734
0.845 0.837 0.234
0.873 0.386 0.330
```

Entry 12:
# Ce4CN2

A relaxed Ce4CN2 crystal (PBE, Alexandria).

Calculated values
Calculated volume ... 244.8 Å³ per cell
Uncorrected formation energy ... -0.83 eV/atom
E ... -7.9181 eV/atom

```
Ce4CN2
1.0
1.763 -5.915 0.000
1.763 5.915 0.000
0.000 0.000 11.736
Ce C N
8 2 4
Direct
0.000 0.000 0.000
0.000 0.000 0.500
0.279 0.721 0.627
0.279 0.721 0.873
0.446 0.554 0.250
0.554 0.446 0.750
0.721 0.279 0.127
0.721 0.279 0.373
0.090 0.910 0.250
0.910 0.090 0.750
0.356 0.644 0.057
0.356 0.644 0.443
0.644 0.356 0.557
0.644 0.356 0.943
```